Here is a relaxed CdNiW crystal from Alexandria via LeMat-Bulk. Energies are from PBE-GGA.

Formation enthalpy at 0 K, eV per atom: 0.25
Theoretical density, g/cm3: 12.6
Space-group type: I4mm

POSCAR file:
```
CdNiW
1.0
6.200 -0.009 0.009
5.563 2.738 0.031
0.638 0.126 2.744
Cd Ni W
1 1 1
Cartesian
11.665 2.707 0.063
4.229 0.967 1.871
8.270 1.912 0.889
```



Here is a relaxed CdNiW3 crystal from Alexandria via LeMat-Bulk. Energies are from PBE-GGA.

Formation enthalpy at 0 K, eV per atom: 1.49
Theoretical density, g/cm3: 13.0
Space-group type: Pm-3m

POSCAR file:
```
CdNiW3
1.0
-0.049 -4.062 -1.974
4.477 -0.305 0.516
-0.598 -1.951 4.030
Ni W Cd
1 3 1
Cartesian
0.000 0.000 0.000
2.238 -0.153 0.258
-0.299 -0.976 2.015
-0.025 -2.031 -0.987
1.915 -3.159 1.286
```



Here is a relaxed Cd2NiW crystal from Alexandria via LeMat-Bulk. Energies are from PBE-GGA.

Formation enthalpy at 0 K, eV per atom: 0.20
Theoretical density, g/cm3: 11.4
Space-group type: P4mm

POSCAR file:
```
Cd2NiW
1.0
-0.081 -2.612 1.225
0.809 -1.197 -2.498
7.813 0.771 2.161
Cd Ni W
2 1 1
Cartesian
7.681 0.758 2.125
2.608 -1.683 -0.016
4.062 0.401 1.123
5.909 -1.357 0.897
```



Here is a relaxed CdNi4W2 crystal from Alexandria via LeMat-Bulk. Energies are from PBE-GGA.

Formation enthalpy at 0 K, eV per atom: 1.36
Theoretical density, g/cm3: 9.2
Space-group type: I4/mmm

POSCAR file:
```
CdNi4W2
1.0
-4.430 1.389 0.048
-0.446 -1.574 4.345
-0.736 5.264 4.311
Ni W Cd
4 2 1
Cartesian
-4.165 2.053 5.277
-1.447 3.026 3.428
-0.223 -0.787 2.173
-2.215 0.695 0.024
-3.506 4.125 6.095
-2.106 0.954 2.610
0.000 0.000 0.000
```



Here is a relaxed Cd3NiW crystal from Alexandria via LeMat-Bulk. Energies are from PBE-GGA.

Formation enthalpy at 0 K, eV per atom: 1.74
Theoretical density, g/cm3: 6.4
Space-group type: Pm-3m

POSCAR file:
```
Cd3NiW
1.0
-4.642 2.292 -1.206
0.930 -0.836 -5.166
-2.417 -4.723 0.330
Ni W Cd
1 1 3
Cartesian
-3.065 -1.634 -3.022
0.000 0.000 0.000
0.465 -0.418 -2.583
-1.209 -2.361 0.165
-2.321 1.146 -0.603
```



Here is a relaxed Cd2NiW crystal from Alexandria via LeMat-Bulk. Energies are from PBE-GGA.

Formation enthalpy at 0 K, eV per atom: 0.99
Theoretical density, g/cm3: 10.7
Space-group type: I-42d

POSCAR file:
```
Cd2NiW
1.0
-6.842 -2.397 1.491
2.370 -7.001 -0.381
-1.688 -4.654 3.142
Ni W Cd
2 2 4
Cartesian
-2.236 -4.699 0.555
-0.777 -8.177 1.658
0.000 0.000 0.000
-5.383 -5.875 2.594
-4.185 -3.461 1.622
-0.013 -5.915 0.781
-2.868 -7.237 2.760
-5.254 -11.492 3.340
```



Here is a relaxed Cd2NiW crystal from Alexandria via LeMat-Bulk. Energies are from PBE-GGA.

Formation enthalpy at 0 K, eV per atom: 0.71
Theoretical density, g/cm3: 11.5
Space-group type: F-43m

POSCAR file:
```
Cd2NiW
1.0
4.569 0.000 0.000
2.284 3.957 0.000
2.284 1.319 3.731
Cd Ni W
2 1 1
Cartesian
0.000 0.000 0.000
2.284 1.319 0.933
4.569 2.638 1.865
6.853 3.957 2.798
```



Here is a relaxed CdNi3W crystal from Alexandria via LeMat-Bulk. Energies are from PBE-GGA.

Formation enthalpy at 0 K, eV per atom: 1.20
Theoretical density, g/cm3: 8.3
Space-group type: Pm-3m

POSCAR file:
```
CdNi3W
1.0
-2.441 -2.875 2.542
2.699 0.855 3.559
-2.728 3.419 1.248
Ni W Cd
3 1 1
Cartesian
1.350 0.427 1.780
-1.364 1.709 0.624
-1.220 -1.438 1.271
0.000 0.000 0.000
-1.235 0.699 3.674
```



Here is a relaxed Cd2NiW crystal from Alexandria via LeMat-Bulk. Energies are from PBE-GGA.

Formation enthalpy at 0 K, eV per atom: 0.59
Theoretical density, g/cm3: 11.5
Space-group type: Pmmm

POSCAR file:
```
Cd2NiW
1.0
2.881 0.000 0.000
0.000 4.777 0.000
0.000 0.000 4.908
Cd Ni W
2 1 1
Cartesian
0.000 0.000 0.000
1.440 2.389 0.000
1.440 0.000 2.454
0.000 2.389 2.454
```



Here is a relaxed Cd2NiW crystal from Alexandria via LeMat-Bulk. Energies are from PBE-GGA.

Formation enthalpy at 0 K, eV per atom: 0.67
Theoretical density, g/cm3: 11.3
Space-group type: P4/mmm

POSCAR file:
```
Cd2NiW
1.0
4.942 0.000 0.000
0.000 4.942 0.000
0.000 0.000 2.816
Cd Ni W
2 1 1
Cartesian
0.000 0.000 0.000
2.471 2.471 0.000
2.471 0.000 1.408
0.000 2.471 1.408
```



Here is a relaxed Cd4NiW crystal from Alexandria via LeMat-Bulk. Energies are from PBE-GGA.

Formation enthalpy at 0 K, eV per atom: 0.89
Theoretical density, g/cm3: 9.7
Space-group type: F-43m

POSCAR file:
```
Cd4NiW
1.0
0.000 3.893 3.893
3.893 0.000 3.893
3.893 3.893 0.000
Cd Ni W
4 1 1
Cartesian
2.921 4.866 4.866
4.866 4.866 2.921
4.866 2.921 4.866
2.921 2.921 2.921
5.840 5.840 5.840
0.000 0.000 0.000
```



Here is a relaxed Cd2NiW crystal from Alexandria via LeMat-Bulk. Energies are from PBE-GGA.

Formation enthalpy at 0 K, eV per atom: 0.55
Theoretical density, g/cm3: 11.4
Space-group type: Cmmm

POSCAR file:
```
Cd2NiW
1.0
-4.394 2.807 0.667
-0.692 -4.812 -2.000
-0.262 -1.007 2.515
Cd Ni W
2 1 1
Cartesian
-2.197 1.403 0.334
-0.346 -2.406 -1.000
-0.131 -0.504 1.257
-2.674 -1.506 0.591
```